Entry 1:
First-principles (PBE) data for an optimized crystal structure of Pa2SbMo, as listed in Alexandria.

ρ	12.8	g cm⁻³
formation energy (no corrections)	-0.56	eV per formula unit
excess energy over the best structure of this formula in the dataset	0	meV/atom
uncorrected energy	-8.626	eV/atom
total magnetization	0.0	μB per cell

Cell: 4.427 4.427 4.492 Å, 90.00 90.00 90.00°
Sites, in units of the cell vectors:
Pa  0.000  0.500  0.000
Pa  0.500  0.000  0.000
Sb  0.000  0.000  0.500
Mo  0.500  0.500  0.500

=====

Entry 2:
First-principles (PBE) data for an optimized crystal structure of Pr3YPb, as listed in Alexandria.

ρ	7.0	g cm⁻³
uncorrected energy	-5.086	eV/atom
total magnetization	0.0	μB per cell

Cell: 8.985 8.847 10.082 Å, 90.00 121.24 90.00°
Sites, in units of the cell vectors:
Pr  0.094  0.088  0.303
Pr  0.094  0.412  0.803
Pr  0.312  0.064  0.710
Pr  0.312  0.436  0.210
Pr  0.404  0.704  0.939
Pr  0.404  0.796  0.439
Pr  0.596  0.204  0.561
Pr  0.596  0.296  0.061
Pr  0.688  0.564  0.790
Pr  0.688  0.936  0.290
Pr  0.906  0.588  0.197
Pr  0.906  0.912  0.697
Y  0.251  0.065  0.033
Y  0.251  0.435  0.533
Y  0.749  0.565  0.467
Y  0.749  0.935  0.967
Pb  0.097  0.746  0.037
Pb  0.097  0.754  0.537
Pb  0.903  0.246  0.463
Pb  0.903  0.254  0.963

=====

Entry 3:
First-principles (PBE) data for an optimized crystal structure of Dy6As2PdSe3, as listed in Alexandria.

ρ	8.3	g cm⁻³
formation energy (no corrections)	-18.56	eV per formula unit
uncorrected energy	-5.926	eV/atom
total magnetization	0.0	μB per cell

Cell: 9.201 9.201 8.255 Å, 103.35 103.35 25.56°
Sites, in units of the cell vectors:
Dy  0.001  0.001  0.242
Dy  0.330  0.330  0.423
Dy  0.335  0.335  0.911
Dy  0.665  0.665  0.089
Dy  0.670  0.670  0.577
Dy  0.999  0.999  0.758
As  0.166  0.166  0.333
As  0.834  0.834  0.667
Pd  0.500  0.500  0.000
Se  0.169  0.169  0.832
Se  0.500  0.500  0.500
Se  0.831  0.831  0.168

=====

Entry 4:
First-principles (PBE) data for an optimized crystal structure of AlSb2Br, as listed in Alexandria.

ρ	5.5	g cm⁻³
formation energy (no corrections)	0.70	eV per formula unit
excess energy over the best structure of this formula in the dataset	373	meV/atom
uncorrected energy	-3.241	eV/atom
total magnetization	0.0	μB per cell

Cell: 3.477 5.073 11.992 Å, 90.00 90.00 90.00°
Sites, in units of the cell vectors:
Al  0.000  0.000  0.000
Al  0.500  0.500  0.500
Sb  0.000  0.000  0.431
Sb  0.000  0.500  0.707
Sb  0.500  0.000  0.207
Sb  0.500  0.500  0.931
Br  0.000  0.500  0.206
Br  0.500  0.000  0.706

=====

Entry 5:
First-principles (PBE) data for an optimized crystal structure of Mn2Tl2V, as listed in Alexandria.

ρ	9.6	g cm⁻³
excess energy over the best structure of this formula in the dataset	0	meV/atom
uncorrected energy	-5.786	eV/atom
total magnetization	8.3	μB per cell

Cell: 7.487 7.487 3.502 Å, 90.00 90.00 90.00°
Sites, in units of the cell vectors:
Mn  0.161  0.339  0.000
Mn  0.339  0.839  0.000
Mn  0.661  0.161  0.000
Mn  0.839  0.661  0.000
Tl  0.143  0.643  0.500
Tl  0.357  0.143  0.500
Tl  0.643  0.857  0.500
Tl  0.857  0.357  0.500
V  0.000  0.000  0.500
V  0.500  0.500  0.500

=====

Entry 6:
First-principles (PBE) data for an optimized crystal structure of Cd2Fe3, as listed in Alexandria.

ρ	8.3	g cm⁻³
uncorrected energy	-5.080	eV/atom
total magnetization	7.0	μB per cell

Cell: 2.857 2.857 33.231 Å, 90.00 90.00 120.00°
Sites, in units of the cell vectors:
Cd  0.000  0.000  0.097
Cd  0.000  0.000  0.903
Cd  0.333  0.667  0.570
Cd  0.333  0.667  0.763
Cd  0.667  0.333  0.237
Cd  0.667  0.333  0.430
Fe  0.000  0.000  0.308
Fe  0.000  0.000  0.500
Fe  0.000  0.000  0.692
Fe  0.333  0.667  0.167
Fe  0.333  0.667  0.359
Fe  0.333  0.667  0.974
Fe  0.667  0.333  0.026
Fe  0.667  0.333  0.641
Fe  0.667  0.333  0.833